Entry 1:
4
Lattice="2.7533 0.0278 0.0000 -0.6725 2.6700 0.0000 0.0000 0.0000 8.5848" Properties=species:S:1:pos:R:3 comment="ScNiW2 (PBE, relaxed)" relative_energy_ev_per_atom=0.018 dos_at_fermi_per_ev_fu=3.558 spacegroup="Cmm2, No. 35" ef_ev_per_atom=0.082 pbc="T T T"
Ni 0.0000 0.0000 4.2046
Sc 1.0404 1.3489 6.2611
W 0.0000 0.0000 0.0845
W 1.0404 1.3489 2.3270

***

Entry 2:
12
Lattice="4.8248 0.0000 -1.4178 -1.1570 7.4725 -3.9374 0.0789 -0.0046 9.1868" Properties=species:S:1:pos:R:3 comment="AcCd3In2 (PBE, relaxed)" relative_energy_ev_per_atom=0.000 dos_at_fermi_per_ev_fu=1.959 spacegroup="C2/m, No. 12" ef_ev_per_atom=-0.242 pbc="T T T"
Ac 0.5158 1.0005 1.7553
Ac 3.2309 6.4674 2.0764
Cd 2.7456 3.4992 0.4250
Cd -0.3889 2.5217 -1.3234
Cd 1.4818 0.8818 5.0427
Cd 2.2649 6.5860 -1.2111
Cd 4.1356 4.9462 5.1550
Cd 1.0010 3.9686 3.4066
In 2.2187 1.2591 -1.3682
In 1.5280 6.2088 5.1998
In 0.1297 5.1187 0.4413
In 3.6170 2.3492 3.3903